Entry 1:
Compound: AcHoCd
Source: Alexandria via LeMat-Bulk
Functional: PBE
Structure: optimized geometry

Computed properties:
**ΔE_f**: -0.161 eV/atom
**Polymorph energy (0 for the lowest one)**: 0.0 kJ/mol of atoms
**Final energy**: -0.1235 hartree per atom
**Total magnetization**: 0.3 μB/cell

a = 7.0950 Å, b = 7.0950 Å, c = 7.0950 Å
α = 148.37°, β = 148.37°, γ = 45.33°
Last column: nearest neighbours and their distance in Å.
Positions (direct):
Ac 0.0000 0.0000 0.0000  4 Cd 3.59, 5 Ho 3.76-3.97, 4 Ac 3.87
Ho 0.3029 0.3029 0.0000  4 Cd 3.19
Cd 0.6772 0.6772 0.0000  4 Ho 3.19

***

Entry 2:
Compound: Sc3HgI
Source: Alexandria via LeMat-Bulk
Functional: PBE
Structure: optimized geometry

Computed properties:
**Formation energy (no corrections)**: 0.18 eV/atom
**Polymorph energy (0 for the lowest one)**: 0.0 kJ/mol of atoms
**Final energy**: -0.1466 hartree per atom
**Total magnetization**: 0.0 μB/cell

a = 5.3593 Å, b = 5.3593 Å, c = 5.3593 Å
α = 90.00°, β = 90.00°, γ = 90.00°
Last column: nearest neighbours and their distance in Å.
Positions (direct):
Sc 0.0000 0.0000 0.5000  2 Hg 2.68
Sc 0.0000 0.5000 0.0000  2 Hg 2.68
Sc 0.5000 0.0000 0.0000  2 Hg 2.68
Hg 0.0000 0.0000 0.0000  6 Sc 2.68
I 0.5000 0.5000 0.5000  12 Sc 3.79

***

Entry 3:
Compound: CdP
Source: Alexandria via LeMat-Bulk
Functional: PBE
Structure: optimized geometry

Computed properties:
**ΔE_f**: 0.285 eV/atom
**Polymorph energy (0 for the lowest one)**: 31.6 kJ/mol of atoms
**Final energy**: -0.1057 hartree per atom
**Total magnetization**: 0.0 μB/cell

a = 6.8041 Å, b = 6.8041 Å, c = 6.8041 Å
α = 98.38°, β = 98.38°, γ = 135.11°
Last column: nearest neighbours and their distance in Å.
Positions (direct):
Cd 0.0567 0.7117 0.7683  4 P 2.50-2.78
Cd 0.2883 0.0567 0.3450  4 P 2.50-2.78
Cd 0.7117 0.9433 0.6550  4 P 2.50-2.78
Cd 0.9433 0.2883 0.2317  4 P 2.50-2.78
P 0.2210 0.3329 0.5540  4 Cd 2.50-2.78
P 0.3329 0.7790 0.1119  4 Cd 2.50-2.78
P 0.6671 0.2210 0.8881  4 Cd 2.50-2.78
P 0.7790 0.6671 0.4460  4 Cd 2.50-2.78

***

Entry 4:
Compound: Er2Sc2In
Source: Alexandria via LeMat-Bulk
Functional: PBE
Structure: optimized geometry

Computed properties:
**ΔE_f**: 0.098 eV/atom
**Polymorph energy (0 for the lowest one)**: 14.9 kJ/mol of atoms
**Final energy**: -0.1767 hartree per atom
**Total magnetization**: 0.0 μB/cell

a = 8.3375 Å, b = 8.3375 Å, c = 3.8612 Å
α = 90.00°, β = 90.00°, γ = 90.00°
Last column: nearest neighbours and their distance in Å.
Positions (direct):
Er 0.1441 0.3559 0.0000  6 Sc 3.05-3.16, 2 In 3.20, 1 Er 3.40
Er 0.3559 0.8559 0.0000  6 Sc 3.05-3.16, 2 In 3.20, 1 Er 3.40
Er 0.6441 0.1441 0.0000  6 Sc 3.05-3.16, 2 In 3.20, 1 Er 3.40
Er 0.8559 0.6441 0.0000  6 Sc 3.05-3.16, 2 In 3.20, 1 Er 3.40
Sc 0.1560 0.6560 0.5000  6 Er 3.05-3.16
Sc 0.3440 0.1560 0.5000  6 Er 3.05-3.16
Sc 0.6560 0.8440 0.5000  6 Er 3.05-3.16
Sc 0.8440 0.3440 0.5000  6 Er 3.05-3.16
In 0.0000 0.0000 0.0000  4 Er 3.20
In 0.5000 0.5000 0.0000  4 Er 3.20

***

Entry 5:
Compound: Rb3SrCl
Source: Alexandria via LeMat-Bulk
Functional: PBE
Structure: optimized geometry

Computed properties:
**Formation energy (no corrections)**: -0.60 eV/atom
**Polymorph energy (0 for the lowest one)**: 0.0 kJ/mol of atoms
**Final energy**: -0.0692 hartree per atom
**Total magnetization**: 0.0 μB/cell

a = 6.7702 Å, b = 6.7702 Å, c = 6.7702 Å
α = 90.00°, β = 90.00°, γ = 90.00°
Last column: nearest neighbours and their distance in Å.
Positions (direct):
Rb 0.0000 0.0000 0.5000  2 Cl 3.39
Rb 0.0000 0.5000 0.0000  2 Cl 3.39
Rb 0.5000 0.0000 0.0000  2 Cl 3.39
Sr 0.5000 0.5000 0.5000  12 Rb 4.79
Cl 0.0000 0.0000 0.0000  6 Rb 3.39

***

Entry 6:
Compound: Mg2ZnMoW
Source: Alexandria via LeMat-Bulk
Functional: PBE
Structure: optimized geometry

Computed properties:
**ΔE_f**: 1.368 eV/atom
**Final energy**: -0.1574 hartree per atom
**Total magnetization**: 0.0 μB/cell

a = 5.2363 Å, b = 5.2363 Å, c = 4.5679 Å
α = 90.00°, β = 90.00°, γ = 90.00°
Last column: nearest neighbours and their distance in Å.
Positions (direct):
Mg 0.0000 0.5000 0.0000  2 W 2.62
Mg 0.5000 0.0000 0.0000  2 W 2.62
Zn 0.0000 0.0000 0.5000  8 Mg 3.47, 4 Mo 3.70
Mo 0.5000 0.5000 0.5000  2 W 2.28
W 0.5000 0.5000 0.0000  2 Mo 2.28

***

> What is the total magnetization in the first record?

0.3 μB/cell

***

> Which value of total magnetization does entry 3 give?

0.0 μB/cell